# 1
Ba3SbO: optimized geometry, PBE-GGA.

Properties
formation energy from raw total energies = -1495 meV/atom
V = 163.0 Å³/cell
distance to the lowest polymorph of the same formula = 0.004 eV/atom
total energy = -4.4653 eV per atom

a = 5.4623 Å, b = 5.4623 Å, c = 5.4623 Å
α = 90.00°, β = 90.00°, γ = 90.00°
Positions (direct):
Ba1 0.0000 0.0000 0.5000
Ba2 0.5000 0.0000 0.0000
Ba3 0.0000 0.5000 0.0000
Sb1 0.5000 0.5000 0.5000
O1 0.0000 0.0000 0.0000

---

# 2
ZnIn3: optimized geometry, PBE-GGA.

Properties
energy of formation from the pure elements = 0.07 eV/atom
V = 98.3 Å³/cell
total energy = -2.3054 eV per atom

a = 3.6317 Å, b = 3.6317 Å, c = 7.4526 Å
α = 90.00°, β = 90.00°, γ = 90.00°
Positions (direct):
In1 0.0000 0.0000 0.9719
In2 0.5000 0.5000 0.2500
In3 0.0000 0.0000 0.5281
Zn1 0.5000 0.5000 0.7500

---

# 3
TlCu2ClF2: optimized geometry, PBE-GGA.

Properties
formation energy from raw total energies = -1018 meV/atom
V = 233.1 Å³/cell
total energy = -3.7094 eV per atom

a = 5.2264 Å, b = 6.0429 Å, c = 7.7211 Å
α = 107.12°, β = 90.00°, γ = 90.00°
Positions (direct):
Cu1 0.0013 0.9697 0.8272
Cu2 0.4987 0.9697 0.8272
Cu3 0.9987 0.0303 0.1728
Cu4 0.5013 0.0303 0.1728
Cl1 0.7500 0.7335 0.0529
Cl2 0.2500 0.2665 0.9471
F1 0.2500 0.1802 0.3652
F2 0.7500 0.8198 0.6348
F3 0.2500 0.6640 0.7029
F4 0.7500 0.3360 0.2971
Tl1 0.7500 0.3633 0.6300
Tl2 0.2500 0.6367 0.3700

---

# 4
ZrTcHg2: optimized geometry, PBE-GGA.

Properties
energy of formation from the pure elements = 0.16 eV/atom
V = 79.4 Å³/cell
distance to the lowest polymorph of the same formula = 0.076 eV/atom
total energy = -4.7239 eV per atom

a = 5.5837 Å, b = 5.5837 Å, c = 4.8897 Å
α = 63.90°, β = 63.90°, γ = 35.97°
Positions (direct):
Hg1 0.9995 0.9995 0.0005
Hg2 0.2377 0.2377 0.2621
Tc1 0.4878 0.4878 0.5124
Zr1 0.7750 0.7750 0.7249

---

# 5
SiTe: optimized geometry, PBE-GGA.

Properties
formation energy from raw total energies = 700 meV/atom
V = 90.2 Å³/cell
total energy = -3.5820 eV per atom

a = 5.0345 Å, b = 5.0345 Å, c = 5.0345 Å
α = 60.00°, β = 60.00°, γ = 60.00°
Positions (direct):
Si1 0.0000 0.0000 0.0000
Si2 0.2500 0.2500 0.2500
Te1 0.5000 0.5000 0.5000
Te2 0.7500 0.7500 0.7500

---

# 6
Pr3Sm4Er5: optimized geometry, PBE-GGA.

Properties
energy of formation from the pure elements = 0.02 eV/atom
V = 395.0 Å³/cell
distance to the lowest polymorph of the same formula = 0.000 eV/atom
total energy = -4.6510 eV per atom

a = 7.1946 Å, b = 11.3747 Å, c = 12.9683 Å
α = 151.30°, β = 56.41°, γ = 129.20°
Positions (direct):
Er1 0.7503 0.5012 0.0009
Er2 0.6699 0.3342 0.1647
Er3 0.5000 0.0000 0.5000
Er4 0.2497 0.4988 0.9991
Er5 0.3301 0.6658 0.8353
Pr1 0.0000 0.0000 0.5000
Pr2 0.4172 0.8350 0.6680
Pr3 0.5828 0.1650 0.3320
Sm1 0.1697 0.3380 0.1680
Sm2 0.8303 0.6620 0.8320
Sm3 0.9179 0.8370 0.6694
Sm4 0.0821 0.1630 0.3306